(1)
The following is a PBE-GGA calculation of a relaxed LiTiI2O crystal, from Alexandria.

The structure in extended XYZ format:
```
5
Lattice="5.303 0.000 0.000 0.000 5.303 0.000 0.000 0.000 3.580" Properties=species:S:1:pos:R:3 pbc="T T T"
I 0.000 2.651 0.000
I 2.651 0.000 0.000
Li 0.000 0.000 0.000
O 0.000 0.000 1.790
Ti 2.651 2.651 1.790
```

Calculated values
Its space-group type is P4/mmm (123). The calculation puts the excess energy over the best structure of this formula in the dataset at 1195 meV/atom.



(2)
The following is a PBE-GGA calculation of a relaxed LiTiI2O crystal, from Alexandria.

The structure in extended XYZ format:
```
5
Lattice="-1.772 2.224 5.038 -0.707 -5.341 2.109 3.580 0.020 1.250" Properties=species:S:1:pos:R:3 pbc="T T T"
I -0.353 -2.670 1.054
I -0.886 1.112 2.519
Li 0.551 -1.549 4.198
O 1.790 0.010 0.625
Ti 0.000 0.000 0.000
```

Calculated values
Its space-group type is P4/mmm (123). The calculation puts the excess energy over the best structure of this formula in the dataset at 0 meV/atom.



(3)
The following is a PBE-GGA calculation of a relaxed LiTiIO6 crystal, from Alexandria.

The structure in extended XYZ format:
```
18
Lattice="-0.348 -4.533 1.235 -0.592 -1.187 -4.521 8.813 -0.925 -0.911" Properties=species:S:1:pos:R:3 pbc="T T T"
Li 3.931 -3.322 -2.098
Li 8.807 -0.924 -0.910
Ti 1.090 -3.024 -1.804
Ti 5.967 -0.626 -0.617
I 6.857 -3.629 -2.400
I 2.920 -0.306 -0.302
O 3.813 -2.257 -3.917
O 3.967 -4.377 -0.270
O 8.469 -2.731 -1.947
O 8.124 -4.828 -3.151
O 1.040 -2.012 -3.551
O 1.188 -4.040 -0.062
O 5.705 -2.362 -1.615
O 5.335 -4.615 -2.909
O 6.843 -4.587 -0.729
O 6.702 -2.653 -4.055
O 2.167 -4.365 -2.630
O 2.564 -1.950 -1.242
```

Calculated values
Its space-group type is P4_2nm (102).



(4)
The following is a PBE-GGA calculation of a relaxed Li2TiI6O18 crystal, from Alexandria.

The structure in extended XYZ format:
```
27
Lattice="4.731 -8.195 0.000 4.731 8.195 0.000 0.000 0.000 5.266" Properties=species:S:1:pos:R:3 pbc="T T T"
Li 4.731 -2.732 1.385
Li 0.000 0.000 4.130
Ti 4.731 2.732 1.696
I 6.610 0.012 1.141
I 1.437 2.465 1.141
I 6.148 5.718 1.141
I 7.765 -2.908 3.686
I 3.062 -5.270 3.686
I 3.368 -0.016 3.686
O 4.561 -0.914 2.647
O 6.391 -3.493 2.647
O 3.243 -3.788 2.647
O 4.909 6.425 0.013
O 7.841 0.731 0.013
O 1.444 1.039 0.013
O 5.189 1.184 0.606
O 3.163 3.110 0.606
O 5.843 3.901 0.606
O 4.448 4.324 2.878
O 6.252 2.181 2.878
O 3.494 1.690 2.878
O 6.092 -1.464 0.212
O 5.149 -4.544 0.212
O 2.953 -2.187 0.212
O 8.165 -1.318 2.897
O 4.239 -6.412 2.897
O 1.790 -0.465 2.897
```

Calculated values
Its space-group type is P3 (143).



(5)
The following is a PBE-GGA calculation of a relaxed LiTl2IO4 crystal, from Alexandria.

The structure in extended XYZ format:
```
8
Lattice="-0.842 5.772 -1.238 -1.622 -0.609 -6.354 -2.461 -3.299 4.178" Properties=species:S:1:pos:R:3 pbc="T T T"
Li -3.955 2.291 -0.149
Tl -0.726 2.981 -0.702
Tl -2.164 -0.263 -0.031
I -3.222 2.115 -3.462
O -2.606 1.704 -1.551
O -2.341 3.768 -3.507
O -1.843 1.079 -4.159
O -2.462 2.904 1.135
```

Calculated values
Its space-group type is P1 (1).



(6)
The following is a PBE-GGA calculation of a relaxed Li2TlIO6 crystal, from Alexandria.

The structure in extended XYZ format:
```
10
Lattice="5.641 0.308 0.222 2.890 4.854 0.222 2.890 1.749 4.533" Properties=species:S:1:pos:R:3 pbc="T T T"
Li 2.486 1.505 1.084
Li 8.028 4.858 3.499
Tl 5.622 3.402 2.450
I 0.065 0.039 0.028
O 4.727 1.892 3.803
O 3.869 4.656 1.934
O 7.769 2.616 3.153
O 6.987 5.110 1.482
O 5.920 2.236 0.589
O 5.922 4.786 4.377
```

Calculated values
Its space-group type is R3 (146).



Number 1: DFT total energy -3.673 eV/atom, calculated volume 20.14 A^3/atom, formation energy from raw total energies -0.0993 eV per atom. Number 2: DFT total energy -4.868 eV/atom, calculated volume 25.38 A^3/atom, formation energy from raw total energies -1.2941 eV per atom. Number 3: DFT total energy -6.041 eV/atom, calculated volume 10.99 A^3/atom, formation energy from raw total energies -1.4739 eV per atom. Number 4: DFT total energy -4.920 eV/atom, calculated volume 15.12 A^3/atom, formation energy from raw total energies -0.8363 eV per atom. Number 5: DFT total energy -4.301 eV/atom, calculated volume 18.05 A^3/atom, formation energy from raw total energies -0.7969 eV per atom. Number 6: DFT total energy -4.703 eV/atom, calculated volume 11.61 A^3/atom, formation energy from raw total energies -0.9540 eV per atom.